No. 1
# Ce2YTmSb5 | Alexandria | PBE-GGA | optimized geometry
data_Ce2YTmSb5
_chemical_formula_sum 'Ce2 Y1 Tm1 Sb5'
_cell_length_a 5.2650
_cell_length_b 5.2650
_cell_length_c 11.5289
_cell_angle_alpha 90.00
_cell_angle_beta 90.00
_cell_angle_gamma 90.00
_space_group_name_H-M_alt 'P 1'
_space_group_IT_number 1
loop_
_space_group_symop_operation_xyz
'x,y,z'
loop_
_atom_site_label
_atom_site_fract_x
_atom_site_fract_y
_atom_site_fract_z
Sb1 0.0000 0.0000 0.7517
Sb2 0.5000 0.5000 0.0000
Sb3 0.5000 0.0000 0.5000
Sb4 0.0000 0.0000 0.2483
Sb5 0.0000 0.5000 0.5000
Y1 0.0000 0.0000 0.0000
Tm1 0.0000 0.0000 0.5000
Ce1 0.5000 0.5000 0.2874
Ce2 0.5000 0.5000 0.7126
# DOS(E_F), states/eV/f.u.: 16.70
# Total moment, μB/f.u.: 1.615
# ΔE_f (raw), eV per atom: -0.32

---

No. 2
# Pu2TiBi | Alexandria | PBE-GGA | optimized geometry
data_Pu2TiBi
_chemical_formula_sum 'Pu2 Ti1 Bi1'
_cell_length_a 4.8210
_cell_length_b 4.4342
_cell_length_c 4.4342
_cell_angle_alpha 90.00
_cell_angle_beta 90.00
_cell_angle_gamma 90.00
_space_group_name_H-M_alt 'P 1'
_space_group_IT_number 1
loop_
_space_group_symop_operation_xyz
'x,y,z'
loop_
_atom_site_label
_atom_site_fract_x
_atom_site_fract_y
_atom_site_fract_z
Pu1 0.0000 0.5000 0.0000
Pu2 0.0000 0.0000 0.5000
Ti1 0.5000 0.0000 0.0000
Bi1 0.5000 0.5000 0.5000
# E_form, eV/atom: -0.073
# DOS(E_F), states/eV/f.u.: 10.13
# Total moment, μB/f.u.: 10.796

---

No. 3
# In2RePb | Alexandria | PBE-GGA | optimized geometry
data_In2RePb
_chemical_formula_sum 'In2 Re1 Pb1'
_cell_length_a 7.3552
_cell_length_b 7.3552
_cell_length_c 4.7869
_cell_angle_alpha 71.08
_cell_angle_beta 71.08
_cell_angle_gamma 23.61
_space_group_name_H-M_alt 'P 1'
_space_group_IT_number 1
loop_
_space_group_symop_operation_xyz
'x,y,z'
loop_
_atom_site_label
_atom_site_fract_x
_atom_site_fract_y
_atom_site_fract_z
Pb1 0.7500 0.7500 0.7500
Re1 0.2500 0.2500 0.2500
In1 0.5609 0.5609 0.4385
In2 0.9391 0.9391 0.0615
# E_form, eV/atom: 0.578
# DOS(E_F), states/eV/f.u.: 1.71
# Energy above the lowest structure with this stoichiometry, eV per atom: 0.133
# Total moment, μB/f.u.: 0.000

---

No. 4
# CoWBr | Alexandria | PBE-GGA | optimized geometry
data_CoWBr
_chemical_formula_sum 'Co1 W1 Br1'
_cell_length_a 4.1928
_cell_length_b 4.1928
_cell_length_c 4.1928
_cell_angle_alpha 60.00
_cell_angle_beta 60.00
_cell_angle_gamma 60.00
_space_group_name_H-M_alt 'P 1'
_space_group_IT_number 1
loop_
_space_group_symop_operation_xyz
'x,y,z'
loop_
_atom_site_label
_atom_site_fract_x
_atom_site_fract_y
_atom_site_fract_z
Br1 0.5000 0.5000 0.5000
Co1 0.2500 0.2500 0.2500
W1 0.0000 0.0000 0.0000
# DOS(E_F), states/eV/f.u.: 3.37
# Energy above the lowest structure with this stoichiometry, eV per atom: 0.798
# Total moment, μB/f.u.: 0.000
# ΔE_f (raw), eV per atom: 1.46

---

No. 5
# LiBiMo3 | Alexandria | PBE-GGA | optimized geometry
data_LiBiMo3
_chemical_formula_sum 'Li1 Bi1 Mo3'
_cell_length_a 5.0835
_cell_length_b 5.0835
_cell_length_c 5.0835
_cell_angle_alpha 90.00
_cell_angle_beta 90.00
_cell_angle_gamma 90.00
_space_group_name_H-M_alt 'P 1'
_space_group_IT_number 1
loop_
_space_group_symop_operation_xyz
'x,y,z'
loop_
_atom_site_label
_atom_site_fract_x
_atom_site_fract_y
_atom_site_fract_z
Li1 0.5000 0.5000 0.5000
Bi1 0.0000 0.0000 0.0000
Mo1 0.0000 0.0000 0.5000
Mo2 0.0000 0.5000 0.0000
Mo3 0.5000 0.0000 0.0000
# E_form, eV/atom: 2.385
# DOS(E_F), states/eV/f.u.: 9.70
# Energy above the lowest structure with this stoichiometry, eV per atom: 1.060
# Total moment, μB/f.u.: 0.000

---

No. 6
# Co4RhAu | Alexandria | PBE-GGA | optimized geometry
data_Co4RhAu
_chemical_formula_sum 'Co4 Rh1 Au1'
_cell_length_a 4.7695
_cell_length_b 4.7695
_cell_length_c 4.7695
_cell_angle_alpha 60.00
_cell_angle_beta 60.00
_cell_angle_gamma 60.00
_space_group_name_H-M_alt 'P 1'
_space_group_IT_number 1
loop_
_space_group_symop_operation_xyz
'x,y,z'
loop_
_atom_site_label
_atom_site_fract_x
_atom_site_fract_y
_atom_site_fract_z
Co1 0.3750 0.8750 0.3750
Co2 0.3750 0.3750 0.3750
Co3 0.8750 0.3750 0.3750
Co4 0.3750 0.3750 0.8750
Au1 0.0000 0.0000 0.0000
Rh1 0.7500 0.7500 0.7500
# E_form, eV/atom: 0.128
# DOS(E_F), states/eV/f.u.: 6.62
# Total moment, μB/f.u.: 8.035

---

No. 7
# Li2LaMo | Alexandria | PBE-GGA | optimized geometry
data_Li2LaMo
_chemical_formula_sum 'Li4 La2 Mo2'
_cell_length_a 4.0013
_cell_length_b 4.0013
_cell_length_c 11.3883
_cell_angle_alpha 79.88
_cell_angle_beta 79.88
_cell_angle_gamma 90.00
_space_group_name_H-M_alt 'P 1'
_space_group_IT_number 1
loop_
_space_group_symop_operation_xyz
'x,y,z'
loop_
_atom_site_label
_atom_site_fract_x
_atom_site_fract_y
_atom_site_fract_z
Mo1 0.2500 0.7500 0.5000
Mo2 0.5000 0.5000 0.0000
Li1 0.8750 0.4262 0.7500
Li2 0.3750 0.8238 0.7500
Li3 0.1762 0.1250 0.2500
Li4 0.5738 0.6250 0.2500
La1 0.0000 0.0000 0.0000
La2 0.7500 0.2500 0.5000
# E_form, eV/atom: 0.685
# DOS(E_F), states/eV/f.u.: 3.78
# Energy above the lowest structure with this stoichiometry, eV per atom: 0.273
# Total moment, μB/f.u.: 0.000

---

No. 8
# VP2AuS | Alexandria | PBE-GGA | optimized geometry
data_VP2AuS
_chemical_formula_sum 'V1 P2 Au1 S1'
_cell_length_a 4.6179
_cell_length_b 4.6179
_cell_length_c 4.3936
_cell_angle_alpha 90.00
_cell_angle_beta 90.00
_cell_angle_gamma 90.00
_space_group_name_H-M_alt 'P 1'
_space_group_IT_number 1
loop_
_space_group_symop_operation_xyz
'x,y,z'
loop_
_atom_site_label
_atom_site_fract_x
_atom_site_fract_y
_atom_site_fract_z
S1 0.0000 0.0000 0.5000
P1 0.0000 0.5000 0.0000
P2 0.5000 0.0000 0.0000
Au1 0.5000 0.5000 0.5000
V1 0.0000 0.0000 0.0000
# DOS(E_F), states/eV/f.u.: 3.80
# Energy above the lowest structure with this stoichiometry, eV per atom: 0.000
# Total moment, μB/f.u.: 0.000
# ΔE_f (raw), eV per atom: 0.37

---

No. 9
# BeAsP2 | Alexandria | PBE-GGA | optimized geometry
data_BeAsP2
_chemical_formula_sum 'Be1 As1 P2'
_cell_length_a 5.5044
_cell_length_b 5.5044
_cell_length_c 5.5044
_cell_angle_alpha 146.11
_cell_angle_beta 137.78
_cell_angle_gamma 55.20
_space_group_name_H-M_alt 'P 1'
_space_group_IT_number 1
loop_
_space_group_symop_operation_xyz
'x,y,z'
loop_
_atom_site_label
_atom_site_fract_x
_atom_site_fract_y
_atom_site_fract_z
P1 0.4202 0.4202 0.0000
P2 0.0798 0.0798 0.0000
As1 0.7500 0.2500 0.5000
Be1 0.2500 0.7500 0.5000
# E_form, eV/atom: 0.432
# DOS(E_F), states/eV/f.u.: 1.56
# Energy above the lowest structure with this stoichiometry, eV per atom: 0.418
# Total moment, μB/f.u.: 0.000

---

No. 10
# Tm3Mg4Tl4 | Alexandria | PBE-GGA | optimized geometry
data_Tm3Mg4Tl4
_chemical_formula_sum 'Tm3 Mg4 Tl4'
_cell_length_a 4.6454
_cell_length_b 7.7054
_cell_length_c 8.9060
_cell_angle_alpha 115.63
_cell_angle_beta 105.12
_cell_angle_gamma 90.00
_space_group_name_H-M_alt 'P 1'
_space_group_IT_number 1
loop_
_space_group_symop_operation_xyz
'x,y,z'
loop_
_atom_site_label
_atom_site_fract_x
_atom_site_fract_y
_atom_site_fract_z
Tm1 0.1158 0.1158 0.2316
Tm2 0.8842 0.8842 0.7684
Tm3 0.0000 0.5000 0.0000
Mg1 0.6740 0.4787 0.3481
Mg2 0.3260 0.1306 0.6519
Mg3 0.6740 0.8694 0.3481
Mg4 0.3260 0.5213 0.6519
Tl1 0.5000 0.7981 0.0000
Tl2 0.5000 0.2019 0.0000
Tl3 0.7811 0.2811 0.5622
Tl4 0.2189 0.7189 0.4378
# E_form, eV/atom: -0.185
# DOS(E_F), states/eV/f.u.: 4.40
# Total moment, μB/f.u.: 0.000

---

No. 11
# Ca2AcGe2 | Alexandria | PBE-GGA | optimized geometry
data_Ca2AcGe2
_chemical_formula_sum 'Ca4 Ac2 Ge4'
_cell_length_a 4.7049
_cell_length_b 5.4102
_cell_length_c 11.8793
_cell_angle_alpha 93.51
_cell_angle_beta 90.00
_cell_angle_gamma 90.00
_space_group_name_H-M_alt 'P 1'
_space_group_IT_number 1
loop_
_space_group_symop_operation_xyz
'x,y,z'
loop_
_atom_site_label
_atom_site_fract_x
_atom_site_fract_y
_atom_site_fract_z
Ac1 0.7500 0.3571 0.7646
Ac2 0.2500 0.6429 0.2354
Ca1 0.2500 0.2435 0.5042
Ca2 0.2500 0.8645 0.8915
Ca3 0.7500 0.7565 0.4958
Ca4 0.7500 0.1355 0.1085
Ge1 0.7500 0.2436 0.3524
Ge2 0.2500 0.7564 0.6476
Ge3 0.7500 0.6256 0.0168
Ge4 0.2500 0.3744 0.9832
# E_form, eV/atom: -0.512
# DOS(E_F), states/eV/f.u.: 3.00
# Energy above the lowest structure with this stoichiometry, eV per atom: 0.036
# Total moment, μB/f.u.: 0.076

---

No. 12
# CeSbPd6 | Alexandria | PBE-GGA | optimized geometry
data_CeSbPd6
_chemical_formula_sum 'Ce1 Sb1 Pd6'
_cell_length_a 4.9728
_cell_length_b 4.9728
_cell_length_c 7.3739
_cell_angle_alpha 73.17
_cell_angle_beta 73.17
_cell_angle_gamma 66.62
_space_group_name_H-M_alt 'P 1'
_space_group_IT_number 1
loop_
_space_group_symop_operation_xyz
'x,y,z'
loop_
_atom_site_label
_atom_site_fract_x
_atom_site_fract_y
_atom_site_fract_z
Sb1 0.0000 0.0000 0.0000
Ce1 0.5000 0.5000 0.5000
Pd1 0.6543 0.6543 0.0547
Pd2 0.3457 0.3457 0.9453
Pd3 0.9337 0.4459 0.7000
Pd4 0.4459 0.9337 0.7000
Pd5 0.0663 0.5541 0.3000
Pd6 0.5541 0.0663 0.3000
# DOS(E_F), states/eV/f.u.: 4.80
# Energy above the lowest structure with this stoichiometry, eV per atom: 0.222
# Total moment, μB/f.u.: 0.171
# ΔE_f (raw), eV per atom: -0.37

---

No. 13
# Li2YMg | Alexandria | PBE-GGA | optimized geometry
data_Li2YMg
_chemical_formula_sum 'Li2 Y1 Mg1'
_cell_length_a 5.1403
_cell_length_b 5.1403
_cell_length_c 5.1403
_cell_angle_alpha 60.00
_cell_angle_beta 60.00
_cell_angle_gamma 60.00
_space_group_name_H-M_alt 'P 1'
_space_group_IT_number 1
loop_
_space_group_symop_operation_xyz
'x,y,z'
loop_
_atom_site_label
_atom_site_fract_x
_atom_site_fract_y
_atom_site_fract_z
Li1 0.2500 0.2500 0.2500
Li2 0.0000 0.0000 0.0000
Y1 0.7500 0.7500 0.7500
Mg1 0.5000 0.5000 0.5000
# E_form, eV/atom: 0.116
# DOS(E_F), states/eV/f.u.: 5.83
# Total moment, μB/f.u.: 0.006

---

No. 14
# LaCoCu3 | Alexandria | PBE-GGA | optimized geometry
data_LaCoCu3
_chemical_formula_sum 'La1 Co1 Cu3'
_cell_length_a 4.5315
_cell_length_b 4.5315
_cell_length_c 4.5315
_cell_angle_alpha 90.00
_cell_angle_beta 90.00
_cell_angle_gamma 90.00
_space_group_name_H-M_alt 'P 1'
_space_group_IT_number 1
loop_
_space_group_symop_operation_xyz
'x,y,z'
loop_
_atom_site_label
_atom_site_fract_x
_atom_site_fract_y
_atom_site_fract_z
Cu1 0.0000 0.0000 0.5000
Cu2 0.0000 0.5000 0.0000
Cu3 0.5000 0.0000 0.0000
Co1 0.0000 0.0000 0.0000
La1 0.5000 0.5000 0.5000
# E_form, eV/atom: 0.241
# DOS(E_F), states/eV/f.u.: 4.77
# Energy above the lowest structure with this stoichiometry, eV per atom: 0.000
# Total moment, μB/f.u.: 0.547

---

No. 15
# LaPm2TmMg | Alexandria | PBE-GGA | optimized geometry
data_LaPm2TmMg
_chemical_formula_sum 'La2 Pm4 Tm2 Mg2'
_cell_length_a 5.6835
_cell_length_b 6.3110
_cell_length_c 9.5366
_cell_angle_alpha 69.24
_cell_angle_beta 90.00
_cell_angle_gamma 90.00
_space_group_name_H-M_alt 'P 1'
_space_group_IT_number 1
loop_
_space_group_symop_operation_xyz
'x,y,z'
loop_
_atom_site_label
_atom_site_fract_x
_atom_site_fract_y
_atom_site_fract_z
Pm1 0.2500 0.0164 0.6075
Pm2 0.7500 0.7366 0.8073
Pm3 0.2500 0.2634 0.1927
Pm4 0.7500 0.9836 0.3925
La1 0.2500 0.6522 0.3863
La2 0.7500 0.3478 0.6137
Tm1 0.7500 0.1496 0.0001
Tm2 0.2500 0.8504 0.9999
Mg1 0.7500 0.5806 0.1914
Mg2 0.2500 0.4194 0.8086
# E_form, eV/atom: 0.018
# DOS(E_F), states/eV/f.u.: 7.17
# Total moment, μB/f.u.: 0.000

---

No. 16
# NaCaLuAl | Alexandria | PBE-GGA | optimized geometry
data_NaCaLuAl
_chemical_formula_sum 'Na1 Ca1 Lu1 Al1'
_cell_length_a 5.3429
_cell_length_b 5.3429
_cell_length_c 5.3429
_cell_angle_alpha 60.00
_cell_angle_beta 60.00
_cell_angle_gamma 60.00
_space_group_name_H-M_alt 'P 1'
_space_group_IT_number 1
loop_
_space_group_symop_operation_xyz
'x,y,z'
loop_
_atom_site_label
_atom_site_fract_x
_atom_site_fract_y
_atom_site_fract_z
Al1 0.5000 0.5000 0.5000
Ca1 0.2500 0.2500 0.2500
Lu1 0.7500 0.7500 0.7500
Na1 0.0000 0.0000 0.0000
# E_form, eV/atom: 0.009
# DOS(E_F), states/eV/f.u.: 3.77
# Total moment, μB/f.u.: 0.002